Entry 1:
Computed, not measured: a geometry-optimized SiSbAs structure at the PBE level of DFT.

Cell: 3.9136 3.9136 4.8947 Å, 90.00 90.00 120.00°
Positions (direct):
Sb1 0.6667 0.3333 0.3522
Si1 0.3333 0.6667 0.6886
As1 0.0000 0.0000 0.9592

**Formation energy (no corrections)**: 54 kJ/mol of formula units
**E above lowest polymorph**: 0.000 eV per formula unit
**VASP energy**: -13.63 eV per formula unit
**Mass density**: 5.7 g/cm³


Entry 2:
Computed, not measured: a geometry-optimized MgRePb2 structure at the PBE level of DFT.

Cell: 3.4496 3.4496 7.5701 Å, 90.00 90.00 90.00°
Positions (direct):
Pb1 0.0000 0.0000 0.4681
Mg1 0.5000 0.5000 0.7500
Re1 0.5000 0.5000 0.2500
Pb2 0.0000 0.0000 0.0319

**Formation enthalpy at 0 K**: 640 meV/atom
**VASP energy**: -18.90 eV per formula unit
**Mass density**: 11.5 g/cm³


Entry 3:
Computed, not measured: a geometry-optimized Dy3Zn4Ga4 structure at the PBE level of DFT.

Cell: 3.7496 4.3401 13.4707 Å, 80.76 81.97 90.00°
Positions (direct):
Zn1 0.2552 0.2554 0.4889
Dy1 0.1449 0.6448 0.7099
Zn2 0.7448 0.7447 0.5111
Ga1 0.6875 0.1885 0.6235
Ga2 0.3125 0.8115 0.3765
Dy2 0.8552 0.3552 0.2901
Dy3 0.0000 0.0000 0.0000
Ga3 0.5473 0.5483 0.9032
Zn3 0.4053 0.9059 0.1884
Zn4 0.5947 0.0941 0.8116
Ga4 0.4528 0.4517 0.0968

**Formation enthalpy at 0 K**: -490 meV/atom
**E above lowest polymorph**: 0.389 eV per formula unit
**VASP energy**: -36.40 eV per formula unit
**Mass density**: 8.0 g/cm³


Entry 4:
Computed, not measured: a geometry-optimized Ba2Cd3PbAu4 structure at the PBE level of DFT.

Cell: 5.0241 5.0241 11.0020 Å, 90.00 90.00 90.00°
Positions (direct):
Pb1 0.5000 0.5000 0.5000
Au1 0.5000 0.5000 0.0000
Au2 0.0000 0.0000 0.0000
Cd1 0.0000 0.0000 0.5000
Au3 0.0000 0.5000 0.3675
Cd2 0.5000 0.0000 0.8828
Ba1 0.5000 0.0000 0.2355
Ba2 0.0000 0.5000 0.7645
Cd3 0.0000 0.5000 0.1172
Au4 0.5000 0.0000 0.6325

**Formation enthalpy at 0 K**: -465 meV/atom
**VASP energy**: -28.05 eV per formula unit
**Mass density**: 9.6 g/cm³


Entry 5:
Computed, not measured: a geometry-optimized Li2TmGaS4 structure at the PBE level of DFT.

Cell: 7.4727 7.4727 7.6326 Å, 120.71 120.71 90.17°
Positions (direct):
S1 0.2542 0.2454 0.0270
S2 0.2546 0.2458 0.4730
S3 0.2552 0.7551 0.5051
Ga1 0.0000 0.0000 0.0000
Li1 0.5000 0.5000 0.0000
Tm1 0.0000 0.5000 0.0000
S4 0.7454 0.7542 0.5270
S5 0.7449 0.2448 0.9949
Ga2 0.5000 0.5000 0.5000
Li2 0.5000 0.0000 0.5000
Li3 0.0000 0.0000 0.5000
S6 0.2551 0.7552 0.0051
Li4 0.5000 0.0000 0.0000
S7 0.7448 0.2449 0.4949
S8 0.7458 0.7546 0.9730
Tm2 0.0000 0.5000 0.5000

**Formation energy (no corrections)**: -1019 kJ/mol of formula units
**VASP energy**: -38.39 eV per formula unit
**Mass density**: 4.3 g/cm³


Entry 6:
Computed, not measured: a geometry-optimized BiMoC2 structure at the PBE level of DFT.

Cell: 5.2113 5.2113 6.2777 Å, 65.48 65.48 90.00°
Positions (direct):
C1 0.3750 0.4677 0.7500
Bi1 0.7500 0.2500 0.5000
C2 0.2177 0.6250 0.2500
C3 0.5323 0.1250 0.2500
Mo1 0.2500 0.7500 0.5000
Bi2 0.0000 0.0000 0.0000
C4 0.8750 0.7823 0.7500
Mo2 0.5000 0.5000 0.0000

**Formation enthalpy at 0 K**: 1000 meV/atom
**VASP energy**: -29.16 eV per formula unit
**Mass density**: 7.9 g/cm³


Entry 7:
Computed, not measured: a geometry-optimized NdThTeRh structure at the PBE level of DFT.

Cell: 4.1715 4.1717 8.1275 Å, 90.00 104.87 119.99°
Positions (direct):
Nd1 0.4959 0.1458 0.6570
Th1 0.1030 0.9495 0.0678
Rh1 0.3117 0.5537 0.8808
Te1 0.9673 0.3818 0.3640

**Formation energy (no corrections)**: -406 kJ/mol of formula units
**VASP energy**: -26.88 eV per formula unit
**Mass density**: 8.6 g/cm³


Entry 8:
Computed, not measured: a geometry-optimized InP3W structure at the PBE level of DFT.

Cell: 4.8059 4.8059 4.8059 Å, 90.00 90.00 90.00°
Positions (direct):
P1 0.0000 0.0000 0.5000
P2 0.5000 0.0000 0.0000
W1 0.5000 0.5000 0.5000
P3 0.0000 0.5000 0.0000
In1 0.0000 0.0000 0.0000

**Formation enthalpy at 0 K**: 2126 meV/atom
**E above lowest polymorph**: 8.694 eV per formula unit
**VASP energy**: -21.29 eV per formula unit
**Mass density**: 5.9 g/cm³


Question: Which of these has the lowest mass density?
Answer: Li2TmGaS4